The following is a DFT calculation (PBE-GGA) of an optimized crystal structure of MgBeCu2.

## Properties
The formation energy is 0.044 eV/atom.

Structure (POSCAR):
```
MgBeCu2
1.0
3.6097 0.0000 0.0000
0.0000 3.6097 0.0000
0.0000 0.0000 7.7286
Mg Be Cu
2 2 4
direct
0.0000 0.0000 0.0000
0.5000 0.5000 0.5000
0.0000 0.5000 0.7500
0.5000 0.0000 0.2500
0.0000 0.0000 0.5000
0.0000 0.5000 0.2500
0.5000 0.0000 0.7500
0.5000 0.5000 0.0000
```